TlGeMo2O8 after structural relaxation, computed with PBE with a Hubbard U.

Summary:
* mass density: 4.5 g cm⁻³
* DOS(E_F): 1.79 states/eV/f.u.
* spin magnetization: 0.92 μB/f.u.
* energy: -77.55 eV/cell

```
TlGeMo2O8
1.0
-4.520 -3.348 1.282
5.317 -1.615 1.549
-0.827 3.668 6.662
Tl Ge Mo O
1 1 2 8
direct
0.000 0.000 0.500
0.000 0.000 0.000
0.333 0.667 0.771
0.667 0.333 0.229
0.159 0.318 0.843
0.159 0.841 0.843
0.682 0.841 0.843
0.318 0.159 0.157
0.667 0.333 0.458
0.333 0.667 0.542
0.841 0.682 0.157
0.841 0.159 0.157
```